Record 1
## NaPr3Nd2S6 (PBE)

Data for NaPr3Nd2S6 after structural relaxation.

Results
Formation energy without anion corrections in eV/atom: -1.95
Spin magnetization in μB/f.u.: 0.00

abc: 7.0758 7.0758 7.0913
angles: 99.60 99.60 120.12
With the nearest neighbours (Å) after each atom.
Element x y z (fractional)
Na  0.0000  0.0000  0.0000  6 S 2.84-2.87
Pr  0.1640  0.8360  0.5000  6 S 2.89-2.93
Pr  0.5000  0.5000  0.5000  6 S 2.90-2.94
Pr  0.8360  0.1640  0.5000  6 S 2.89-2.93
Nd  0.3341  0.6659  0.0000  6 S 2.86-2.89
Nd  0.6659  0.3341  0.0000  6 S 2.86-2.89
S  0.0822  0.4142  0.2474  1 Na 2.87, 2 Nd 2.88-2.89, 3 Pr 2.90-2.93
S  0.2494  0.2494  0.7574  1 Na 2.84, 2 Nd 2.86, 3 Pr 2.89-2.94
S  0.4142  0.0822  0.2474  1 Na 2.87, 2 Nd 2.88-2.89, 3 Pr 2.90-2.93
S  0.5858  0.9178  0.7526  1 Na 2.87, 2 Nd 2.88-2.89, 3 Pr 2.90-2.93
S  0.7506  0.7506  0.2426  1 Na 2.84, 2 Nd 2.86, 3 Pr 2.89-2.94
S  0.9178  0.5858  0.7526  1 Na 2.87, 2 Nd 2.88-2.89, 3 Pr 2.90-2.93

Record 2
## Na4PrNd3S8 (PBE)

Data for Na4PrNd3S8 after structural relaxation.

Results
Formation energy without anion corrections in eV/atom: -1.79
Spin magnetization in μB/f.u.: 0.00

abc: 8.2313 8.2313 8.2313
angles: 60.43 60.43 60.43
With the nearest neighbours (Å) after each atom.
Element x y z (fractional)
Na  0.0000  0.0000  0.0000  6 S 2.97
Na  0.0000  0.5000  0.5000  6 S 2.99
Na  0.5000  0.0000  0.5000  6 S 2.99
Na  0.5000  0.5000  0.0000  6 S 2.99
Pr  0.5000  0.5000  0.5000  6 S 2.87
Nd  0.0000  0.0000  0.5000  6 S 2.85-2.86
Nd  0.0000  0.5000  0.0000  6 S 2.85-2.86
Nd  0.5000  0.0000  0.0000  6 S 2.85-2.86
S  0.2431  0.7454  0.7454  2 Nd 2.85, 1 Pr 2.87, 3 Na 2.97-2.99
S  0.2443  0.2443  0.2443  3 Nd 2.86, 3 Na 2.99
S  0.2546  0.2546  0.7569  2 Nd 2.85, 1 Pr 2.87, 3 Na 2.97-2.99
S  0.2546  0.7569  0.2546  2 Nd 2.85, 1 Pr 2.87, 3 Na 2.97-2.99
S  0.7454  0.2431  0.7454  2 Nd 2.85, 1 Pr 2.87, 3 Na 2.97-2.99
S  0.7454  0.7454  0.2431  2 Nd 2.85, 1 Pr 2.87, 3 Na 2.97-2.99
S  0.7557  0.7557  0.7557  3 Nd 2.86, 3 Na 2.99
S  0.7569  0.2546  0.2546  2 Nd 2.85, 1 Pr 2.87, 3 Na 2.97-2.99

Record 3
## Na2PrNdSe4 (PBE)

Data for Na2PrNdSe4 after structural relaxation.

Results
Formation energy without anion corrections in eV/atom: -1.68
Spin magnetization in μB/f.u.: 0.00

abc: 7.4404 4.3034 7.4501
angles: 90.00 109.48 90.00
With the nearest neighbours (Å) after each atom.
Element x y z (fractional)
Na  0.0000  0.0000  0.0000  6 Se 3.08-3.09
Na  0.0000  0.5000  0.5000  6 Se 3.10
Pr  0.5000  0.0000  0.5000  6 Se 3.00
Nd  0.5000  0.5000  0.0000  6 Se 2.98
Se  0.2634  0.0000  0.7562  2 Nd 2.98, 1 Pr 3.00, 3 Na 3.08-3.10
Se  0.2626  0.5000  0.2528  1 Nd 2.98, 2 Pr 3.00, 3 Na 3.09-3.10
Se  0.7366  0.0000  0.2438  2 Nd 2.98, 1 Pr 3.00, 3 Na 3.08-3.10
Se  0.7374  0.5000  0.7472  1 Nd 2.98, 2 Pr 3.00, 3 Na 3.09-3.10

Record 4
## NaPr3Nd2Se6 (PBE)

Data for NaPr3Nd2Se6 after structural relaxation.

Results
Formation energy without anion corrections in eV/atom: -1.80
Spin magnetization in μB/f.u.: 0.00

abc: 9.5073 9.5073 8.5153
angles: 102.83 102.83 25.79
With the nearest neighbours (Å) after each atom.
Element x y z (fractional)
Na  0.0000  0.0000  0.0000  6 Se 2.99-3.00
Pr  0.0000  0.0000  0.5000  6 Se 3.00-3.02
Pr  0.3358  0.3358  0.1720  6 Se 2.98-3.06
Pr  0.6642  0.6642  0.8280  6 Se 2.98-3.06
Nd  0.3322  0.3322  0.6605  6 Se 2.97-3.03
Nd  0.6678  0.6678  0.3395  6 Se 2.97-3.03
Se  0.1664  0.1664  0.0844  1 Na 3.00, 2 Nd 3.03, 3 Pr 3.04-3.06
Se  0.1661  0.1661  0.5829  3 Nd 2.97-3.00, 3 Pr 2.98-3.00
Se  0.4980  0.4980  0.7522  2 Na 2.99, 1 Nd 2.99, 3 Pr 3.00-3.02
Se  0.5020  0.5020  0.2478  2 Na 2.99, 1 Nd 2.99, 3 Pr 3.00-3.02
Se  0.8339  0.8339  0.4171  3 Nd 2.97-3.00, 3 Pr 2.98-3.00
Se  0.8336  0.8336  0.9156  1 Na 3.00, 2 Nd 3.03, 3 Pr 3.04-3.06

Record 5
## Na2PrNd3Se6 (PBE)

Data for Na2PrNd3Se6 after structural relaxation.

Results
Formation energy without anion corrections in eV/atom: -1.74
Spin magnetization in μB/f.u.: 0.00

abc: 7.3380 7.3380 7.3903
angles: 99.51 99.51 119.97
With the nearest neighbours (Å) after each atom.
Element x y z (fractional)
Na  0.1662  0.8338  0.0000  6 Se 3.01-3.02
Na  0.8338  0.1662  0.0000  6 Se 3.01-3.02
Pr  0.5000  0.5000  0.0000  6 Se 3.01-3.02
Nd  0.0000  0.0000  0.5000  6 Se 2.99-3.00
Nd  0.3317  0.6683  0.5000  6 Se 2.99-3.00
Nd  0.6683  0.3317  0.5000  6 Se 2.99-3.00
Se  0.0831  0.4163  0.7492  3 Nd 2.99-3.00, 2 Na 3.01, 1 Pr 3.01
Se  0.2519  0.2519  0.2540  3 Nd 2.99-3.00, 1 Pr 3.02, 2 Na 3.02
Se  0.4163  0.0831  0.7492  3 Nd 2.99-3.00, 2 Na 3.01, 1 Pr 3.01
Se  0.5837  0.9169  0.2508  3 Nd 2.99-3.00, 2 Na 3.01, 1 Pr 3.01
Se  0.7481  0.7481  0.7460  3 Nd 2.99-3.00, 1 Pr 3.02, 2 Na 3.02
Se  0.9169  0.5837  0.2508  3 Nd 2.99-3.00, 2 Na 3.01, 1 Pr 3.01

Record 6
## Na2Pr3NdSe6 (PBE)

Data for Na2Pr3NdSe6 after structural relaxation.

Results
Formation energy without anion corrections in eV/atom: -1.73
Spin magnetization in μB/f.u.: 0.00

abc: 7.3694 7.3694 7.3929
angles: 99.55 99.55 119.96
With the nearest neighbours (Å) after each atom.
Element x y z (fractional)
Na  0.1660  0.8340  0.0000  6 Se 3.01-3.02
Na  0.8340  0.1660  0.0000  6 Se 3.01-3.02
Pr  0.0000  0.0000  0.5000  6 Se 3.02
Pr  0.3312  0.6688  0.5000  6 Se 3.02
Pr  0.6688  0.3312  0.5000  6 Se 3.02
Nd  0.5000  0.5000  0.0000  6 Se 2.99-3.00
Se  0.0859  0.4175  0.7527  1 Nd 2.99, 2 Na 3.01, 3 Pr 3.02
Se  0.2527  0.2527  0.2511  1 Nd 3.00, 2 Na 3.02, 3 Pr 3.02
Se  0.4175  0.0859  0.7527  1 Nd 2.99, 2 Na 3.01, 3 Pr 3.02
Se  0.5825  0.9141  0.2473  1 Nd 2.99, 2 Na 3.01, 3 Pr 3.02
Se  0.7473  0.7473  0.7489  1 Nd 3.00, 2 Na 3.02, 3 Pr 3.02
Se  0.9141  0.5825  0.2473  1 Nd 2.99, 2 Na 3.01, 3 Pr 3.02

Record 7
## NaPrNdSn (PBE)

Data for NaPrNdSn after structural relaxation.

Results
Spin magnetization in μB/f.u.: 0.00
Calculated formation energy in meV per atom: -347

abc: 5.5091 5.5091 5.5091
angles: 60.00 60.00 60.00
With the nearest neighbours (Å) after each atom.
Element x y z (fractional)
Na  0.0000  0.0000  0.0000  4 Pr 3.37, 4 Nd 3.37
Pr  0.7500  0.7500  0.7500  4 Sn 3.37, 4 Na 3.37
Nd  0.2500  0.2500  0.2500  4 Sn 3.37, 4 Na 3.37
Sn  0.5000  0.5000  0.5000  4 Pr 3.37, 4 Nd 3.37

Record 8
## NaPrNd2Te4 (PBE)

Data for NaPrNd2Te4 after structural relaxation.

Results
Formation energy without anion corrections in eV/atom: -1.39
Spin magnetization in μB/f.u.: 0.00

abc: 7.8463 4.4914 7.8530
angles: 90.00 109.05 90.00
With the nearest neighbours (Å) after each atom.
Element x y z (fractional)
Na  0.0000  0.0000  0.0000  6 Te 3.17-3.20
Pr  0.5000  0.5000  0.0000  6 Te 3.21
Nd  0.0000  0.5000  0.5000  6 Te 3.19
Nd  0.5000  0.0000  0.5000  6 Te 3.20-3.22
Te  0.2467  0.0000  0.7501  1 Na 3.17, 3 Nd 3.19-3.22, 2 Pr 3.21
Te  0.2488  0.5000  0.2504  3 Nd 3.19-3.20, 2 Na 3.20, 1 Pr 3.21
Te  0.7512  0.5000  0.7496  3 Nd 3.19-3.20, 2 Na 3.20, 1 Pr 3.21
Te  0.7533  0.0000  0.2499  1 Na 3.17, 3 Nd 3.19-3.22, 2 Pr 3.21

Record 9
## Na3PrNd2Te6 (PBE)

Data for Na3PrNd2Te6 after structural relaxation.

Results
Formation energy without anion corrections in eV/atom: -1.33
Spin magnetization in μB/f.u.: 0.00

abc: 7.8990 7.8990 8.0192
angles: 99.45 99.45 120.00
With the nearest neighbours (Å) after each atom.
Element x y z (fractional)
Na  0.0000  0.0000  0.0000  6 Te 3.28-3.29
Na  0.3336  0.6664  0.0000  6 Te 3.28-3.29
Na  0.6664  0.3336  0.0000  6 Te 3.28-3.29
Pr  0.5000  0.5000  0.5000  6 Te 3.21
Nd  0.1667  0.8333  0.5000  6 Te 3.19
Nd  0.8333  0.1667  0.5000  6 Te 3.19
Te  0.0851  0.4200  0.2602  2 Nd 3.19, 1 Pr 3.21, 3 Na 3.28-3.29
Te  0.2450  0.2450  0.7399  2 Nd 3.19, 1 Pr 3.21, 3 Na 3.28-3.29
Te  0.4200  0.0851  0.2602  2 Nd 3.19, 1 Pr 3.21, 3 Na 3.28-3.29
Te  0.5800  0.9149  0.7398  2 Nd 3.19, 1 Pr 3.21, 3 Na 3.28-3.29
Te  0.7550  0.7550  0.2601  2 Nd 3.19, 1 Pr 3.21, 3 Na 3.28-3.29
Te  0.9149  0.5800  0.7398  2 Nd 3.19, 1 Pr 3.21, 3 Na 3.28-3.29

Record 10
## NaPr3Nd4Te8 (PBE)

Data for NaPr3Nd4Te8 after structural relaxation.

Results
Formation energy without anion corrections in eV/atom: -1.41
Spin magnetization in μB/f.u.: 0.00

abc: 9.0342 9.0342 9.0342
angles: 59.99 59.99 59.99
With the nearest neighbours (Å) after each atom.
Element x y z (fractional)
Na  0.0000  0.0000  0.0000  6 Te 3.17
Pr  0.0000  0.5000  0.5000  6 Te 3.20
Pr  0.5000  0.0000  0.5000  6 Te 3.20
Pr  0.5000  0.5000  0.0000  6 Te 3.20
Nd  0.0000  0.0000  0.5000  6 Te 3.18
Nd  0.0000  0.5000  0.0000  6 Te 3.18
Nd  0.5000  0.0000  0.0000  6 Te 3.18
Nd  0.5000  0.5000  0.5000  6 Te 3.22
Te  0.2462  0.7522  0.7522  1 Na 3.17, 3 Nd 3.18-3.22, 2 Pr 3.20
Te  0.2478  0.2478  0.7538  1 Na 3.17, 3 Nd 3.18-3.22, 2 Pr 3.20
Te  0.2478  0.7538  0.2478  1 Na 3.17, 3 Nd 3.18-3.22, 2 Pr 3.20
Te  0.2492  0.2492  0.2492  3 Nd 3.18, 3 Pr 3.20
Te  0.7508  0.7508  0.7508  3 Nd 3.18, 3 Pr 3.20
Te  0.7522  0.2462  0.7522  1 Na 3.17, 3 Nd 3.18-3.22, 2 Pr 3.20
Te  0.7522  0.7522  0.2462  1 Na 3.17, 3 Nd 3.18-3.22, 2 Pr 3.20
Te  0.7538  0.2478  0.2478  1 Na 3.17, 3 Nd 3.18-3.22, 2 Pr 3.20

Record 11
## NaPr3Nd2Te6 (PBE)

Data for NaPr3Nd2Te6 after structural relaxation.

Results
Formation energy without anion corrections in eV/atom: -1.41
Spin magnetization in μB/f.u.: 0.00

abc: 10.1178 10.1178 9.0696
angles: 102.92 102.92 25.77
With the nearest neighbours (Å) after each atom.
Element x y z (fractional)
Na  0.0000  0.0000  0.0000  6 Te 3.17-3.19
Pr  0.0000  0.0000  0.5000  6 Te 3.18-3.23
Pr  0.3349  0.3349  0.1725  6 Te 3.17-3.24
Pr  0.6651  0.6651  0.8275  6 Te 3.17-3.24
Nd  0.3313  0.3313  0.6593  6 Te 3.16-3.23
Nd  0.6687  0.6687  0.3407  6 Te 3.16-3.23
Te  0.1660  0.1660  0.0843  1 Na 3.19, 2 Nd 3.23, 3 Pr 3.24
Te  0.1659  0.1659  0.5826  3 Nd 3.16-3.18, 3 Pr 3.17-3.18
Te  0.4979  0.4979  0.7530  2 Na 3.17, 1 Nd 3.20, 3 Pr 3.21-3.23
Te  0.5021  0.5021  0.2470  2 Na 3.17, 1 Nd 3.20, 3 Pr 3.21-3.23
Te  0.8341  0.8341  0.4174  3 Nd 3.16-3.18, 3 Pr 3.17-3.18
Te  0.8340  0.8340  0.9157  1 Na 3.19, 2 Nd 3.23, 3 Pr 3.24